#1
Entry from Alexandria via LeMat-Bulk: a relaxed CaNb3C crystal (PBE-GGA).

Output
* symmetry: Pm-3m
* M_tot: 0.0 μB/cell
* theoretical density: 6.1 g/cm3

a b c (Å): 4.4735 4.4735 4.4735
angles (deg): 90.00 90.00 90.00
Last column: nearest neighbours and their distance in Å.
Fractional coordinates of all 5 atoms:
Ca1 0.0000 0.0000 0.0000  12 Nb 3.16
Nb1 0.0000 0.5000 0.5000  2 C 2.24
Nb2 0.5000 0.0000 0.5000  2 C 2.24
Nb3 0.5000 0.5000 0.0000  2 C 2.24
C1 0.5000 0.5000 0.5000  6 Nb 2.24


#2
Entry from Alexandria via LeMat-Bulk: a relaxed CaNb3C crystal (PBE-GGA).

Output
* symmetry: Pm-3m
* M_tot: 0.0 μB/cell
* theoretical density: 5.4 g/cm3

a b c (Å): 4.6665 4.6665 4.6665
angles (deg): 90.00 90.00 90.00
Last column: nearest neighbours and their distance in Å.
Fractional coordinates of all 5 atoms:
Ca1 0.0000 0.0000 0.0000  6 Nb 2.33
Nb1 0.0000 0.0000 0.5000  2 Ca 2.33
Nb2 0.0000 0.5000 0.0000  2 Ca 2.33
Nb3 0.5000 0.0000 0.0000  2 Ca 2.33
C1 0.5000 0.5000 0.5000  12 Nb 3.30


Which is the most stable structure? #1 is the most stable.


#1
Entry from Alexandria via LeMat-Bulk: a relaxed Ca2NiC2 crystal (PBE-GGA).

Output
* symmetry: P4/mbm
* M_tot: 0.0 μB/cell
* theoretical density: 3.4 g/cm3

a b c (Å): 6.8915 6.8915 3.3313
angles (deg): 90.00 90.00 90.00
Last column: nearest neighbours and their distance in Å.
Fractional coordinates of all 10 atoms:
Ca1 0.2189 0.2811 0.0000  6 C 2.68-2.78, 4 Ni 2.97
Ca2 0.2811 0.7811 0.0000  6 C 2.68-2.78, 4 Ni 2.97
Ca3 0.7189 0.2189 0.0000  6 C 2.68-2.78, 4 Ni 2.97
Ca4 0.7811 0.7189 0.0000  6 C 2.68-2.78, 4 Ni 2.97
Ni1 0.0000 0.0000 0.5000  8 Ca 2.97, 4 C 3.02
Ni2 0.5000 0.5000 0.5000  8 Ca 2.97, 4 C 3.02
C1 0.0661 0.5661 0.5000  1 C 1.29
C2 0.4339 0.0661 0.5000  1 C 1.29
C3 0.5661 0.9339 0.5000  1 C 1.29
C4 0.9339 0.4339 0.5000  1 C 1.29


#2
Entry from Alexandria via LeMat-Bulk: a relaxed Ca2NiC2 crystal (PBE-GGA).

Output
* symmetry: C2/c
* M_tot: 0.0 μB/cell
* theoretical density: 3.1 g/cm3

a b c (Å): 6.6588 6.6588 7.7386
angles (deg): 124.83 124.83 39.57
Last column: nearest neighbours and their distance in Å.
Fractional coordinates of all 10 atoms:
Ca1 0.0961 0.6387 0.7853  3 C 2.63-2.66, 3 Ni 2.88-2.94
Ca2 0.3613 0.9039 0.7147  3 C 2.63-2.66, 3 Ni 2.88-2.94
Ca3 0.6387 0.0961 0.2853  3 C 2.63-2.66, 3 Ni 2.88-2.94
Ca4 0.9039 0.3613 0.2147  3 C 2.63-2.66, 3 Ni 2.88-2.94
Ni1 0.2811 0.7189 0.2500  2 C 1.83
Ni2 0.7189 0.2811 0.7500  2 C 1.83
C1 0.0850 0.5478 0.0678  1 C 1.33
C2 0.4522 0.9150 0.4322  1 C 1.33
C3 0.5478 0.0850 0.5678  1 C 1.33
C4 0.9150 0.4522 0.9322  1 C 1.33


Which is the most stable structure? #2 is the most stable.


#1
Entry from Alexandria via LeMat-Bulk: a relaxed CaNi3C crystal (PBE-GGA).

Output
* symmetry: Pm-3m
* M_tot: 0.0 μB/cell
* theoretical density: 6.2 g/cm3

a b c (Å): 3.9490 3.9490 3.9490
angles (deg): 90.00 90.00 90.00
Last column: nearest neighbours and their distance in Å.
Fractional coordinates of all 5 atoms:
Ca1 0.0000 0.0000 0.0000  12 Ni 2.79
Ni1 0.0000 0.5000 0.5000  2 C 1.97
Ni2 0.5000 0.0000 0.5000  2 C 1.97
Ni3 0.5000 0.5000 0.0000  2 C 1.97
C1 0.5000 0.5000 0.5000  6 Ni 1.97


#2
Entry from Alexandria via LeMat-Bulk: a relaxed CaNi3C crystal (PBE-GGA).

Output
* symmetry: P6_3/mmc
* M_tot: 0.0 μB/cell
* theoretical density: 5.8 g/cm3

a b c (Å): 5.5999 5.5999 4.8520
angles (deg): 90.00 90.00 120.00
Last column: nearest neighbours and their distance in Å.
Fractional coordinates of all 10 atoms:
Ca1 0.3333 0.6667 0.2500  12 Ni 2.80-2.98
Ca2 0.6667 0.3333 0.7500  12 Ni 2.80-2.98
Ni1 0.1554 0.3107 0.7500  2 C 1.93
Ni2 0.1554 0.8446 0.7500  2 C 1.93
Ni3 0.3107 0.1554 0.2500  2 C 1.93
Ni4 0.6893 0.8446 0.7500  2 C 1.93
Ni5 0.8446 0.1554 0.2500  2 C 1.93
Ni6 0.8446 0.6893 0.2500  2 C 1.93
C1 0.0000 0.0000 0.0000  6 Ni 1.93
C2 0.0000 0.0000 0.5000  6 Ni 1.93


#3
Entry from Alexandria via LeMat-Bulk: a relaxed CaNi3C crystal (PBE-GGA).

Output
* symmetry: Pm-3m
* M_tot: 0.0 μB/cell
* theoretical density: 4.2 g/cm3

a b c (Å): 4.4777 4.4777 4.4777
angles (deg): 90.00 90.00 90.00
Last column: nearest neighbours and their distance in Å.
Fractional coordinates of all 5 atoms:
Ca1 0.0000 0.0000 0.0000  6 Ni 2.24
Ni1 0.0000 0.0000 0.5000  2 Ca 2.24
Ni2 0.0000 0.5000 0.0000  2 Ca 2.24
Ni3 0.5000 0.0000 0.0000  2 Ca 2.24
C1 0.5000 0.5000 0.5000  12 Ni 3.17


Which is the most stable structure? #1 is the most stable.


#1
Entry from Alexandria via LeMat-Bulk: a relaxed CaNiC3 crystal (PBE-GGA).

Output
* symmetry: Pm-3m
* M_tot: 0.0 μB/cell
* theoretical density: 3.8 g/cm3

a b c (Å): 3.8818 3.8818 3.8818
angles (deg): 90.00 90.00 90.00
Last column: nearest neighbours and their distance in Å.
Fractional coordinates of all 5 atoms:
Ca1 0.0000 0.0000 0.0000  12 C 2.74
Ni1 0.5000 0.5000 0.5000  6 C 1.94
C1 0.0000 0.5000 0.5000  2 Ni 1.94
C2 0.5000 0.0000 0.5000  2 Ni 1.94
C3 0.5000 0.5000 0.0000  2 Ni 1.94


#2
Entry from Alexandria via LeMat-Bulk: a relaxed CaNiC3 crystal (PBE-GGA).

Output
* symmetry: Pm-3m
* M_tot: 0.0 μB/cell
* theoretical density: 2.8 g/cm3

a b c (Å): 4.2869 4.2869 4.2869
angles (deg): 90.00 90.00 90.00
Last column: nearest neighbours and their distance in Å.
Fractional coordinates of all 5 atoms:
Ca1 0.0000 0.0000 0.0000  6 C 2.14
Ni1 0.5000 0.5000 0.5000  12 C 3.03
C1 0.0000 0.0000 0.5000  2 Ca 2.14
C2 0.0000 0.5000 0.0000  2 Ca 2.14
C3 0.5000 0.0000 0.0000  2 Ca 2.14


Which is the most stable structure? #1 is the most stable.


#1
Entry from Alexandria via LeMat-Bulk: a relaxed Ca2CO4 crystal (PBE-GGA).

Output
* symmetry: Cmcm
* M_tot: 0.0 μB/cell
* theoretical density: 2.9 g/cm3

a b c (Å): 6.0214 6.0214 5.1233
angles (deg): 90.00 90.00 105.77
Last column: nearest neighbours and their distance in Å.
Fractional coordinates of all 14 atoms:
Ca1 0.0834 0.3711 0.2500  5 O 2.29-2.49
Ca2 0.3711 0.0834 0.7500  5 O 2.29-2.49
Ca3 0.6289 0.9166 0.2500  5 O 2.29-2.49
Ca4 0.9166 0.6289 0.7500  5 O 2.29-2.49
C1 0.1655 0.8345 0.2500  4 O 1.40-1.43
C2 0.8345 0.1655 0.7500  4 O 1.40-1.43
O1 0.0745 0.2533 0.7500  1 C 1.40
O2 0.2533 0.0745 0.2500  1 C 1.40
O3 0.2544 0.7456 0.0259  1 C 1.43
O4 0.2544 0.7456 0.4741  1 C 1.43
O5 0.7456 0.2544 0.5259  1 C 1.43
O6 0.7456 0.2544 0.9741  1 C 1.43
O7 0.7467 0.9255 0.7500  1 C 1.40
O8 0.9255 0.7467 0.2500  1 C 1.40


#2
Entry from Alexandria via LeMat-Bulk: a relaxed Ca2CO4 crystal (PBE-GGA).

Output
* symmetry: P2_1/m
* M_tot: 0.0 μB/cell
* theoretical density: 3.1 g/cm3

a b c (Å): 5.0436 5.0452 6.8135
angles (deg): 90.00 101.59 90.00
Last column: nearest neighbours and their distance in Å.
Fractional coordinates of all 14 atoms:
Ca1 0.2211 0.2500 0.0297  8 O 2.34-2.60
Ca2 0.2550 0.2500 0.5319  5 O 2.30-2.42
Ca3 0.7450 0.7500 0.4681  5 O 2.30-2.42
Ca4 0.7789 0.7500 0.9703  8 O 2.34-2.60
C1 0.2179 0.7500 0.7820  4 O 1.40-1.43
C2 0.7821 0.2500 0.2180  4 O 1.40-1.43
O1 0.0513 0.5245 0.7341  1 C 1.41
O2 0.0513 0.9755 0.7341  1 C 1.41
O3 0.3204 0.7500 0.9893  1 C 1.40
O4 0.4266 0.7500 0.6679  1 C 1.43
O5 0.5734 0.2500 0.3321  1 C 1.43
O6 0.6796 0.2500 0.0107  1 C 1.40
O7 0.9487 0.0245 0.2659  1 C 1.41
O8 0.9487 0.4755 0.2659  1 C 1.41


Which is the most stable structure? #2 is the most stable.


#1
Entry from Alexandria via LeMat-Bulk: a relaxed CaPCO2 crystal (PBE-GGA).

Output
* symmetry: P4/mmm
* M_tot: 0.0 μB/cell
* theoretical density: 3.1 g/cm3

a b c (Å): 4.2016 4.2016 3.4729
angles (deg): 90.00 90.00 90.00
Last column: nearest neighbours and their distance in Å.
Fractional coordinates of all 5 atoms:
Ca1 0.0000 0.0000 0.0000  8 O 2.73, 4 P 2.97
P1 0.5000 0.5000 0.0000  2 C 1.74
C1 0.5000 0.5000 0.5000  2 P 1.74
O1 0.0000 0.5000 0.5000  2 C 2.10
O2 0.5000 0.0000 0.5000  2 C 2.10


#2
Entry from Alexandria via LeMat-Bulk: a relaxed CaPCO2 crystal (PBE-GGA).

Output
* symmetry: P4/mmm
* M_tot: 2.3 μB/cell
* theoretical density: 1.7 g/cm3

a b c (Å): 4.0836 4.0836 6.7255
angles (deg): 90.00 90.00 90.00
Last column: nearest neighbours and their distance in Å.
Fractional coordinates of all 5 atoms:
Ca1 0.0000 0.0000 0.0000  4 O 2.04
P1 0.0000 0.0000 0.5000  4 C 2.89
C1 0.5000 0.5000 0.5000  4 P 2.89
O1 0.0000 0.5000 0.0000  2 Ca 2.04
O2 0.5000 0.0000 0.0000  2 Ca 2.04


Which is the most stable structure? #1 is the most stable.


#1
Entry from Alexandria via LeMat-Bulk: a relaxed CaOsC3 crystal (PBE-GGA).

Output
* symmetry: Pm-3m
* M_tot: 0.0 μB/cell
* theoretical density: 6.8 g/cm3

a b c (Å): 4.0150 4.0150 4.0150
angles (deg): 90.00 90.00 90.00
Last column: nearest neighbours and their distance in Å.
Fractional coordinates of all 5 atoms:
Ca1 0.0000 0.0000 0.0000  12 C 2.84
Os1 0.5000 0.5000 0.5000  6 C 2.01
C1 0.0000 0.5000 0.5000  2 Os 2.01
C2 0.5000 0.0000 0.5000  2 Os 2.01
C3 0.5000 0.5000 0.0000  2 Os 2.01


#2
Entry from Alexandria via LeMat-Bulk: a relaxed CaOsC3 crystal (PBE-GGA).

Output
* symmetry: Pm-3m
* M_tot: 0.0 μB/cell
* theoretical density: 6.6 g/cm3

a b c (Å): 4.0706 4.0706 4.0706
angles (deg): 90.00 90.00 90.00
Last column: nearest neighbours and their distance in Å.
Fractional coordinates of all 5 atoms:
Ca1 0.0000 0.0000 0.0000  6 C 2.04
Os1 0.5000 0.5000 0.5000  12 C 2.88
C1 0.0000 0.0000 0.5000  2 Ca 2.04
C2 0.0000 0.5000 0.0000  2 Ca 2.04
C3 0.5000 0.0000 0.0000  2 Ca 2.04


Which is the most stable structure? #1 is the most stable.


#1
Entry from Alexandria via LeMat-Bulk: a relaxed Ca2OsC2 crystal (PBE-GGA).

Output
* symmetry: C2/m
* M_tot: 0.0 μB/cell
* theoretical density: 5.4 g/cm3

a b c (Å): 6.3601 6.3601 6.9539
angles (deg): 117.51 117.51 47.86
Last column: nearest neighbours and their distance in Å.
Fractional coordinates of all 10 atoms:
Ca1 0.0324 0.0324 0.2737  4 C 2.50-2.70
Ca2 0.3208 0.3208 0.8772  5 C 2.58-2.84
Ca3 0.6792 0.6792 0.1228  5 C 2.58-2.84
Ca4 0.9676 0.9676 0.7263  4 C 2.50-2.70
Os1 0.3673 0.3673 0.3598  3 C 1.85-2.03
Os2 0.6327 0.6327 0.6402  3 C 1.85-2.03
C1 0.1912 0.1912 0.1315  1 Os 1.85
C2 0.4842 0.4842 0.6976  2 Os 1.96-2.03
C3 0.5158 0.5158 0.3024  2 Os 1.96-2.03
C4 0.8088 0.8088 0.8685  1 Os 1.85


#2
Entry from Alexandria via LeMat-Bulk: a relaxed Ca2OsC2 crystal (PBE-GGA).

Output
* symmetry: Pnma
* M_tot: 0.0 μB/cell
* theoretical density: 5.5 g/cm3

a b c (Å): 6.5996 5.1796 10.4120
angles (deg): 90.00 90.00 90.00
Last column: nearest neighbours and their distance in Å.
Fractional coordinates of all 20 atoms:
Ca1 0.0400 0.2500 0.2145  3 C 2.59-2.60
Ca2 0.1867 0.2500 0.5480  5 C 2.61-2.74
Ca3 0.3133 0.7500 0.0480  5 C 2.61-2.74
Ca4 0.4600 0.7500 0.7145  3 C 2.59-2.60
Ca5 0.5400 0.2500 0.2855  3 C 2.59-2.60
Ca6 0.6867 0.2500 0.9520  5 C 2.61-2.74
Ca7 0.8133 0.7500 0.4520  5 C 2.61-2.74
Ca8 0.9600 0.7500 0.7855  3 C 2.59-2.60
Os1 0.2319 0.2500 0.8468  3 C 1.84-1.96
Os2 0.2681 0.7500 0.3468  3 C 1.84-1.96
Os3 0.7319 0.2500 0.6532  3 C 1.84-1.96
Os4 0.7681 0.7500 0.1532  3 C 1.84-1.96
C1 0.0328 0.7500 0.2389  2 Os 1.92-1.96
C2 0.2144 0.7500 0.5203  1 Os 1.84
C3 0.2856 0.2500 0.0203  1 Os 1.84
C4 0.4672 0.2500 0.7389  2 Os 1.92-1.96
C5 0.5328 0.7500 0.2611  2 Os 1.92-1.96
C6 0.7144 0.7500 0.9797  1 Os 1.84
C7 0.7856 0.2500 0.4797  1 Os 1.84
C8 0.9672 0.2500 0.7611  2 Os 1.92-1.96


Which is the most stable structure? #2 is the most stable.


#1
Entry from Alexandria via LeMat-Bulk: a relaxed CaP3C crystal (PBE-GGA).

Output
* symmetry: Pm-3m
* M_tot: 0.0 μB/cell
* theoretical density: 3.1 g/cm3

a b c (Å): 4.2803 4.2803 4.2803
angles (deg): 90.00 90.00 90.00
Last column: nearest neighbours and their distance in Å.
Fractional coordinates of all 5 atoms:
Ca1 0.0000 0.0000 0.0000  12 P 3.03
P1 0.0000 0.5000 0.5000  2 C 2.14
P2 0.5000 0.0000 0.5000  2 C 2.14
P3 0.5000 0.5000 0.0000  2 C 2.14
C1 0.5000 0.5000 0.5000  6 P 2.14


#2
Entry from Alexandria via LeMat-Bulk: a relaxed CaP3C crystal (PBE-GGA).

Output
* symmetry: Pm-3m
* M_tot: 0.0 μB/cell
* theoretical density: 1.8 g/cm3

a b c (Å): 5.1503 5.1503 5.1503
angles (deg): 90.00 90.00 90.00
Last column: nearest neighbours and their distance in Å.
Fractional coordinates of all 5 atoms:
Ca1 0.0000 0.0000 0.0000  6 P 2.58
P1 0.0000 0.0000 0.5000  2 Ca 2.58
P2 0.0000 0.5000 0.0000  2 Ca 2.58
P3 0.5000 0.0000 0.0000  2 Ca 2.58
C1 0.5000 0.5000 0.5000  12 P 3.64


Which is the most stable structure? #1 is the most stable.


#1
Entry from Alexandria via LeMat-Bulk: a relaxed CaP2CS crystal (PBE-GGA).

Output
* symmetry: P4/mmm
* M_tot: 0.3 μB/cell
* theoretical density: 1.7 g/cm3

a b c (Å): 5.2795 5.2795 5.0752
angles (deg): 90.00 90.00 90.00
Last column: nearest neighbours and their distance in Å.
Fractional coordinates of all 5 atoms:
Ca1 0.0000 0.0000 0.0000  2 S 2.54, 4 P 2.64
P1 0.0000 0.5000 0.0000  2 Ca 2.64
P2 0.5000 0.0000 0.0000  2 Ca 2.64
C1 0.5000 0.5000 0.5000  8 P 3.66, 4 S 3.73
S1 0.0000 0.0000 0.5000  2 Ca 2.54


#2
Entry from Alexandria via LeMat-Bulk: a relaxed CaP2CS crystal (PBE-GGA).

Output
* symmetry: P4/mmm
* M_tot: 0.0 μB/cell
* theoretical density: 2.1 g/cm3

a b c (Å): 3.8416 3.8416 7.7404
angles (deg): 90.00 90.00 90.00
Last column: nearest neighbours and their distance in Å.
Fractional coordinates of all 5 atoms:
Ca1 0.0000 0.0000 0.0000  4 S 2.72
P1 0.0000 0.5000 0.5000  2 C 1.92
P2 0.5000 0.0000 0.5000  2 C 1.92
C1 0.5000 0.5000 0.5000  4 P 1.92
S1 0.5000 0.5000 0.0000  4 Ca 2.72


Which is the most stable structure? #2 is the most stable.


#1
Entry from Alexandria via LeMat-Bulk: a relaxed CaPb3C crystal (PBE-GGA).

Output
* symmetry: Pm-3m
* M_tot: 0.0 μB/cell
* theoretical density: 8.1 g/cm3

a b c (Å): 5.1599 5.1599 5.1599
angles (deg): 90.00 90.00 90.00
Last column: nearest neighbours and their distance in Å.
Fractional coordinates of all 5 atoms:
Ca1 0.0000 0.0000 0.0000  12 Pb 3.65
Pb1 0.0000 0.5000 0.5000  2 C 2.58
Pb2 0.5000 0.0000 0.5000  2 C 2.58
Pb3 0.5000 0.5000 0.0000  2 C 2.58
C1 0.5000 0.5000 0.5000  6 Pb 2.58


#2
Entry from Alexandria via LeMat-Bulk: a relaxed CaPb3C crystal (PBE-GGA).

Output
* symmetry: Pm-3m
* M_tot: 1.8 μB/cell
* theoretical density: 5.3 g/cm3

a b c (Å): 5.9436 5.9436 5.9436
angles (deg): 90.00 90.00 90.00
Last column: nearest neighbours and their distance in Å.
Fractional coordinates of all 5 atoms:
Ca1 0.0000 0.0000 0.0000  6 Pb 2.97
Pb1 0.0000 0.0000 0.5000  2 Ca 2.97
Pb2 0.0000 0.5000 0.0000  2 Ca 2.97
Pb3 0.5000 0.0000 0.0000  2 Ca 2.97
C1 0.5000 0.5000 0.5000  12 Pb 4.20


Which is the most stable structure? #1 is the most stable.


#1
Entry from Alexandria via LeMat-Bulk: a relaxed CaSc2PbC crystal (PBE-GGA).

Output
* symmetry: P4/mmm
* M_tot: 0.0 μB/cell
* theoretical density: 3.5 g/cm3

a b c (Å): 5.3899 5.3899 5.7272
angles (deg): 90.00 90.00 90.00
Last column: nearest neighbours and their distance in Å.
Fractional coordinates of all 5 atoms:
Ca1 0.0000 0.0000 0.0000  2 Pb 2.86
Sc1 0.0000 0.5000 0.5000  2 Pb 2.69
Sc2 0.5000 0.0000 0.5000  2 Pb 2.69
Pb1 0.0000 0.0000 0.5000  4 Sc 2.69, 2 Ca 2.86
C1 0.5000 0.5000 0.0000  4 Ca 3.81, 8 Sc 3.93


#2
Entry from Alexandria via LeMat-Bulk: a relaxed CaSc2PbC crystal (PBE-GGA).

Output
* symmetry: P4/mmm
* M_tot: 0.0 μB/cell
* theoretical density: 5.5 g/cm3

a b c (Å): 4.6102 4.6102 4.9257
angles (deg): 90.00 90.00 90.00
Last column: nearest neighbours and their distance in Å.
Fractional coordinates of all 5 atoms:
Ca1 0.0000 0.0000 0.0000  2 C 2.46
Sc1 0.0000 0.5000 0.5000  2 C 2.31
Sc2 0.5000 0.0000 0.5000  2 C 2.31
Pb1 0.5000 0.5000 0.0000  4 Ca 3.26, 8 Sc 3.37
C1 0.0000 0.0000 0.5000  4 Sc 2.31, 2 Ca 2.46


Which is the most stable structure? #2 is the most stable.